(1)
Density functional theory data (PBE-GGA) for an optimized crystal structure of LiHgH2O.

abc: 3.248 3.248 5.981
angles: 90.00 90.00 90.00
Sites, in units of the cell vectors:
Li: 0.000 0.000 0.000
Hg: 0.500 0.500 0.000
H: 0.000 0.500 0.500
H: 0.500 0.000 0.500
O: 0.500 0.500 0.500

Values from the calculation:
N(E_F), states/eV per atom: 0.2506
Energy, eV/atom: -2.39


(2)
Density functional theory data (PBE-GGA) for an optimized crystal structure of AgHg3Pt.

abc: 5.258 5.258 5.258
angles: 90.00 90.00 90.00
Sites, in units of the cell vectors:
Ag: 0.000 0.000 0.000
Hg: 0.000 0.500 0.500
Hg: 0.500 0.000 0.500
Hg: 0.500 0.500 0.000
Pt: 0.500 0.500 0.500

Values from the calculation:
N(E_F), states/eV per atom: 0.6307
Calculated formation energy, eV per atom: 0.273
Energy, eV/atom: -1.69


(3)
Density functional theory data (PBE-GGA) for an optimized crystal structure of Sm3MgC.

abc: 12.307 3.680 11.726
angles: 90.00 90.00 90.00
Sites, in units of the cell vectors:
Sm: 0.046 0.250 0.249
Sm: 0.123 0.750 0.511
Sm: 0.185 0.250 0.762
Sm: 0.315 0.750 0.262
Sm: 0.377 0.250 0.011
Sm: 0.454 0.750 0.749
Sm: 0.546 0.250 0.251
Sm: 0.623 0.750 0.989
Sm: 0.685 0.250 0.738
Sm: 0.815 0.750 0.238
Sm: 0.877 0.250 0.489
Sm: 0.954 0.750 0.751
Mg: 0.112 0.750 0.003
Mg: 0.388 0.250 0.503
Mg: 0.612 0.750 0.497
Mg: 0.888 0.250 0.997
C: 0.034 0.250 0.629
C: 0.466 0.750 0.129
C: 0.534 0.250 0.871
C: 0.966 0.750 0.371

Values from the calculation:
N(E_F), states/eV per atom: 0.8743
Calculated formation energy, eV per atom: -0.085
Energy, eV/atom: -5.08


(4)
Density functional theory data (PBE-GGA) for an optimized crystal structure of Pa2Ge2Mo2C.

abc: 11.560 3.655 7.296
angles: 90.00 123.41 90.00
Sites, in units of the cell vectors:
Pa: 0.068 0.000 0.288
Pa: 0.432 0.500 0.712
Pa: 0.568 0.500 0.288
Pa: 0.932 0.000 0.712
Ge: 0.142 0.500 0.660
Ge: 0.358 0.000 0.340
Ge: 0.642 0.000 0.660
Ge: 0.858 0.500 0.340
Mo: 0.197 0.500 0.078
Mo: 0.303 0.000 0.922
Mo: 0.697 0.000 0.078
Mo: 0.803 0.500 0.922
C: 0.000 0.500 0.000
C: 0.500 0.000 0.000

Values from the calculation:
N(E_F), states/eV per atom: 1.0576
Calculated formation energy, eV per atom: -0.367
Energy, eV/atom: -8.81


(5)
Density functional theory data (PBE-GGA) for an optimized crystal structure of ZrTeAu.

abc: 10.441 3.808 7.893
angles: 90.00 112.91 90.00
Sites, in units of the cell vectors:
Zr: 0.000 0.000 0.000
Zr: 0.182 0.500 0.618
Zr: 0.500 0.500 0.000
Zr: 0.682 0.000 0.618
Te: 0.001 0.000 0.363
Te: 0.418 0.000 0.687
Te: 0.501 0.500 0.363
Te: 0.918 0.500 0.687
Au: 0.207 0.500 0.200
Au: 0.243 0.000 0.926
Au: 0.707 0.000 0.200
Au: 0.743 0.500 0.926

Values from the calculation:
N(E_F), states/eV per atom: 0.8729
Energy, eV/atom: -5.48


(6)
Density functional theory data (PBE-GGA) for an optimized crystal structure of InFe2Co2.

abc: 3.639 3.639 10.725
angles: 90.00 90.00 90.00
Sites, in units of the cell vectors:
In: 0.000 0.000 0.000
In: 0.500 0.500 0.500
Fe: 0.000 0.000 0.387
Fe: 0.000 0.000 0.613
Fe: 0.500 0.500 0.113
Fe: 0.500 0.500 0.887
Co: 0.000 0.500 0.250
Co: 0.000 0.500 0.750
Co: 0.500 0.000 0.250
Co: 0.500 0.000 0.750

Values from the calculation:
N(E_F), states/eV per atom: 0.7337
Calculated formation energy, eV per atom: 0.327
Energy, eV/atom: -6.45


(7)
Density functional theory data (PBE-GGA) for an optimized crystal structure of MnCd2Ru.

abc: 3.126 4.727 9.384
angles: 90.00 90.00 90.00
Sites, in units of the cell vectors:
Mn: 0.000 0.000 0.000
Mn: 0.500 0.500 0.500
Cd: 0.000 0.000 0.465
Cd: 0.000 0.500 0.236
Cd: 0.500 0.000 0.736
Cd: 0.500 0.500 0.965
Ru: 0.000 0.500 0.705
Ru: 0.500 0.000 0.205

Values from the calculation:
N(E_F), states/eV per atom: 0.6358
Calculated formation energy, eV per atom: 0.263
Energy, eV/atom: -4.81


(8)
Density functional theory data (PBE-GGA) for an optimized crystal structure of ZrAlCu2.

abc: 6.217 6.288 6.330
angles: 90.00 90.00 90.00
Sites, in units of the cell vectors:
Zr: 0.000 0.000 0.000
Zr: 0.000 0.500 0.500
Zr: 0.500 0.000 0.500
Zr: 0.500 0.500 0.000
Al: 0.250 0.250 0.250
Al: 0.250 0.750 0.750
Al: 0.750 0.250 0.750
Al: 0.750 0.750 0.250
Cu: 0.000 0.000 0.500
Cu: 0.000 0.500 0.000
Cu: 0.250 0.250 0.750
Cu: 0.250 0.750 0.250
Cu: 0.500 0.000 0.000
Cu: 0.500 0.500 0.500
Cu: 0.750 0.250 0.250
Cu: 0.750 0.750 0.750

Values from the calculation:
N(E_F), states/eV per atom: 0.4359
Calculated formation energy, eV per atom: -0.166
Energy, eV/atom: -5.29


(9)
Density functional theory data (PBE-GGA) for an optimized crystal structure of Na2TmMnTe4.

abc: 7.304 4.259 7.972
angles: 90.00 107.88 90.00
Sites, in units of the cell vectors:
Na: 0.000 0.000 0.000
Na: 0.500 0.500 0.000
Tm: 0.000 0.500 0.500
Mn: 0.500 0.000 0.500
Te: 0.259 0.000 0.722
Te: 0.277 0.500 0.286
Te: 0.723 0.500 0.714
Te: 0.741 0.000 0.278

Values from the calculation:
N(E_F), states/eV per atom: 0.3122
Energy, eV/atom: -4.44


(10)
Density functional theory data (PBE-GGA) for an optimized crystal structure of Nb5ReGe5.

abc: 6.430 6.430 6.963
angles: 106.02 106.02 45.65
Sites, in units of the cell vectors:
Nb: 0.000 0.000 0.000
Nb: 0.346 0.346 0.139
Nb: 0.395 0.395 0.777
Nb: 0.605 0.605 0.223
Nb: 0.654 0.654 0.861
Re: 0.000 0.000 0.500
Ge: 0.177 0.177 0.798
Ge: 0.194 0.194 0.394
Ge: 0.500 0.500 0.500
Ge: 0.806 0.806 0.606
Ge: 0.823 0.823 0.202

Values from the calculation:
N(E_F), states/eV per atom: 0.7169
Calculated formation energy, eV per atom: 0.094
Energy, eV/atom: -7.71


(11)
Density functional theory data (PBE-GGA) for an optimized crystal structure of Cs2CdI2.

abc: 7.441 7.441 13.786
angles: 90.00 90.00 90.00
Sites, in units of the cell vectors:
Cs: 0.000 0.500 0.250
Cs: 0.000 0.500 0.750
Cs: 0.500 0.000 0.250
Cs: 0.500 0.000 0.750
Cd: 0.000 0.000 0.000
Cd: 0.500 0.500 0.500
I: 0.000 0.000 0.302
I: 0.000 0.000 0.698
I: 0.500 0.500 0.198
I: 0.500 0.500 0.802

Values from the calculation:
N(E_F), states/eV per atom: 0.0000
Energy, eV/atom: -2.15


(12)
Density functional theory data (PBE-GGA) for an optimized crystal structure of CeNpS4.

abc: 4.594 4.594 6.501
angles: 90.00 90.00 90.00
Sites, in units of the cell vectors:
Ce: 0.000 0.000 0.000
Np: 0.500 0.500 0.500
S: 0.000 0.500 0.257
S: 0.000 0.500 0.743
S: 0.500 0.000 0.257
S: 0.500 0.000 0.743

Values from the calculation:
N(E_F), states/eV per atom: 2.0859
Energy, eV/atom: -7.42


Please write out number 1 again, unchanged.
Density functional theory data (PBE-GGA) for an optimized crystal structure of LiHgH2O.

abc: 3.248 3.248 5.981
angles: 90.00 90.00 90.00
Sites, in units of the cell vectors:
Li: 0.000 0.000 0.000
Hg: 0.500 0.500 0.000
H: 0.000 0.500 0.500
H: 0.500 0.000 0.500
O: 0.500 0.500 0.500

Values from the calculation:
N(E_F), states/eV per atom: 0.2506
Energy, eV/atom: -2.39


energy of number 11 (Cs2CdI2)?
-2.15 eV/atom